[1]
A plane-wave DFT calculation with PBE was carried out for a relaxed structure of TmNb2CrC4.

Cell lengths 3.183, 5.776, 11.025 Å; angles 90.00, 90.00, 105.99 degrees
Sites, in units of the cell vectors:
C (0.000, 0.000, 0.500)
C (0.265, 0.530, 0.380)
C (0.735, 0.470, 0.880)
C (0.000, 0.000, 0.000)
C (0.735, 0.470, 0.620)
C (0.564, 0.128, 0.250)
C (0.265, 0.530, 0.120)
C (0.436, 0.872, 0.750)
Tm (0.104, 0.208, 0.750)
Tm (0.896, 0.792, 0.250)
Nb (0.370, 0.740, 0.961)
Nb (0.630, 0.260, 0.461)
Nb (0.630, 0.260, 0.039)
Nb (0.370, 0.740, 0.539)
Cr (0.838, 0.675, 0.750)
Cr (0.162, 0.325, 0.250)

## Properties
The total energy comes out at -73.61 eV per formula unit. Its formation enthalpy at 0 K is -0.31 eV per atom.

=====

[2]
A plane-wave DFT calculation with PBE was carried out for a relaxed structure of NpPaRhO6.

Cell lengths 5.843, 5.843, 8.801 Å; angles 90.00, 90.00, 120.00 degrees
Last column: magnetic moment on the atom in μB.
Sites, in units of the cell vectors:
O (0.989, 0.644, 0.366)  -0.03
O (0.989, 0.344, 0.134)  -0.03
O (0.356, 0.011, 0.134)  -0.03
O (0.644, 0.989, 0.866)  -0.03
O (0.656, 0.644, 0.134)  -0.03
O (0.656, 0.011, 0.366)  -0.03
O (0.644, 0.656, 0.634)  -0.03
O (0.344, 0.989, 0.634)  -0.03
O (0.356, 0.344, 0.366)  -0.03
O (0.011, 0.656, 0.866)  -0.03
O (0.344, 0.356, 0.866)  -0.03
O (0.011, 0.356, 0.634)  -0.03
Rh (0.000, 0.000, 0.000)  1.26
Rh (0.000, 0.000, 0.500)  1.26
Np (0.667, 0.333, 0.250)  1.66
Np (0.333, 0.667, 0.750)  1.66
Pa (0.667, 0.333, 0.750)  0.07
Pa (0.333, 0.667, 0.250)  0.07

## Properties
The total energy comes out at -80.58 eV per formula unit. The value obtained for the uncorrected formation energy is -2.338 eV per atom.

=====

[3]
A plane-wave DFT calculation with PBE was carried out for a relaxed structure of Pr2SmIn2Ag2.

Cell lengths 4.914, 4.914, 9.597 Å; angles 75.17, 75.17, 60.00 degrees
Sites, in units of the cell vectors:
In (0.736, 0.736, 0.793)
In (0.264, 0.264, 0.207)
Ag (0.394, 0.394, 0.818)
Ag (0.606, 0.606, 0.182)
Sm (0.000, 0.000, 0.000)
Pr (0.126, 0.126, 0.622)
Pr (0.874, 0.874, 0.378)

## Properties
The total energy comes out at -27.62 eV per formula unit. Its formation enthalpy at 0 K is -0.31 eV per atom.